[1]
# Ba4AsIBr2

A geometry-optimized Ba4AsIBr2 structure (PBE-GGA, the Alexandria database).

Calculated total energy = -3.678 eV per atom
V = 39.934 A^3/atom
Density of states at the Fermi level = 3.49 states/eV/cell
Uncorrected formation energy = -1.52 eV/atom

Unit cell a=8.243 b=4.803 c=8.547 alpha=90.00 beta=109.26 gamma=90.00
Fractional positions:
1 Ba 0.231 0.000 0.221
2 Ba 0.246 0.500 0.774
3 Ba 0.754 0.500 0.226
4 Ba 0.769 0.000 0.779
5 As 0.000 0.500 0.000
6 I 0.000 0.000 0.500
7 Br 0.500 0.000 0.000
8 Br 0.500 0.500 0.500



[2]
# Ba6As2IrBr3

A geometry-optimized Ba6As2IrBr3 structure (PBE-GGA, the Alexandria database).

Calculated total energy = -4.274 eV per atom
V = 38.517 A^3/atom
Uncorrected formation energy = -1.38 eV/atom

Unit cell a=8.156 b=8.156 c=8.473 alpha=99.24 beta=99.24 gamma=120.00
Fractional positions:
1 Ba 0.071 0.392 0.212
2 Ba 0.250 0.250 0.789
3 Ba 0.392 0.071 0.212
4 Ba 0.608 0.929 0.788
5 Ba 0.750 0.750 0.211
6 Ba 0.929 0.608 0.788
7 As 0.333 0.667 0.000
8 As 0.667 0.333 0.000
9 Ir 0.000 0.000 0.000
10 Br 0.167 0.833 0.500
11 Br 0.500 0.500 0.500
12 Br 0.833 0.167 0.500



[3]
# BaAs2IrBr

A geometry-optimized BaAs2IrBr structure (PBE-GGA, the Alexandria database).

Calculated total energy = -4.761 eV per atom
V = 27.209 A^3/atom
Density of states at the Fermi level = 2.85 states/eV/cell
Offset from the most stable computed form = 0 meV per atom
Uncorrected formation energy = -0.41 eV/atom

Unit cell a=4.827 b=4.827 c=5.838 alpha=90.00 beta=90.00 gamma=90.00
Fractional positions:
1 Ba 0.000 0.000 0.000
2 As 0.000 0.500 0.500
3 As 0.500 0.000 0.500
4 Ir 0.500 0.500 0.500
5 Br 0.500 0.500 0.000



[4]
# BaAs2IrBr

A geometry-optimized BaAs2IrBr structure (PBE-GGA, the Alexandria database).

Calculated total energy = -2.784 eV per atom
V = 48.286 A^3/atom
Density of states at the Fermi level = 9.55 states/eV/cell
Offset from the most stable computed form = 1977 meV per atom
Uncorrected formation energy = 1.57 eV/atom

Unit cell a=6.337 b=6.337 c=6.012 alpha=90.00 beta=90.00 gamma=90.00
Fractional positions:
1 Ba 0.000 0.000 0.000
2 As 0.000 0.500 0.000
3 As 0.500 0.000 0.000
4 Ir 0.500 0.500 0.500
5 Br 0.000 0.000 0.500



[5]
# KBaAsBr2

A geometry-optimized KBaAsBr2 structure (PBE-GGA, the Alexandria database).

Calculated total energy = -3.202 eV per atom
V = 52.602 A^3/atom
Density of states at the Fermi level = 3.64 states/eV/cell
Offset from the most stable computed form = 0 meV per atom
Uncorrected formation energy = -1.00 eV/atom

Unit cell a=6.331 b=6.331 c=6.562 alpha=90.00 beta=90.00 gamma=90.00
Fractional positions:
1 K 0.000 0.000 0.000
2 Ba 0.500 0.500 0.500
3 As 0.500 0.500 0.000
4 Br 0.000 0.500 0.500
5 Br 0.500 0.000 0.500



[6]
# KBaAs2Br

A geometry-optimized KBaAs2Br structure (PBE-GGA, the Alexandria database).

Calculated total energy = -2.838 eV per atom
V = 36.812 A^3/atom
Density of states at the Fermi level = 5.48 states/eV/cell
Offset from the most stable computed form = 164 meV per atom
Uncorrected formation energy = -0.04 eV/atom

Unit cell a=5.588 b=5.588 c=5.895 alpha=90.00 beta=90.00 gamma=90.00
Fractional positions:
1 K 0.000 0.000 0.000
2 Ba 0.500 0.500 0.500
3 As 0.000 0.500 0.000
4 As 0.500 0.000 0.000
5 Br 0.000 0.000 0.500



[7]
# KBaAsBr2

A geometry-optimized KBaAsBr2 structure (PBE-GGA, the Alexandria database).

Calculated total energy = -2.955 eV per atom
V = 40.926 A^3/atom
Density of states at the Fermi level = 3.45 states/eV/cell
Offset from the most stable computed form = 247 meV per atom
Uncorrected formation energy = -0.75 eV/atom

Unit cell a=5.830 b=5.830 c=6.021 alpha=90.00 beta=90.00 gamma=90.00
Fractional positions:
1 K 0.000 0.000 0.000
2 Ba 0.500 0.500 0.500
3 As 0.000 0.000 0.500
4 Br 0.000 0.500 0.000
5 Br 0.500 0.000 0.000



[8]
# KBaAs2Br

A geometry-optimized KBaAs2Br structure (PBE-GGA, the Alexandria database).

Calculated total energy = -3.002 eV per atom
V = 52.578 A^3/atom
Density of states at the Fermi level = 2.71 states/eV/cell
Offset from the most stable computed form = 0 meV per atom
Uncorrected formation energy = -0.20 eV/atom

Unit cell a=6.467 b=6.467 c=6.286 alpha=90.00 beta=90.00 gamma=90.00
Fractional positions:
1 K 0.000 0.000 0.000
2 Ba 0.500 0.500 0.500
3 As 0.000 0.500 0.500
4 As 0.500 0.000 0.500
5 Br 0.500 0.500 0.000



[9]
# Ba2LaAs2Br2

A geometry-optimized Ba2LaAs2Br2 structure (PBE-GGA, the Alexandria database).

Calculated total energy = -4.540 eV per atom
V = 39.061 A^3/atom
Density of states at the Fermi level = 2.99 states/eV/cell
Uncorrected formation energy = -1.48 eV/atom

Unit cell a=9.305 b=9.305 c=9.305 alpha=144.26 beta=144.26 gamma=51.44
Fractional positions:
1 Ba 0.120 0.120 0.000
2 Ba 0.880 0.880 0.000
3 La 0.500 0.500 0.000
4 As 0.000 0.500 0.500
5 As 0.500 0.000 0.500
6 Br 0.314 0.314 0.000
7 Br 0.686 0.686 0.000



[10]
# BaLaAs2Br

A geometry-optimized BaLaAs2Br structure (PBE-GGA, the Alexandria database).

Calculated total energy = -3.747 eV per atom
V = 38.160 A^3/atom
Density of states at the Fermi level = 6.55 states/eV/cell
Offset from the most stable computed form = 757 meV per atom
Uncorrected formation energy = -0.18 eV/atom

Unit cell a=5.738 b=5.738 c=5.796 alpha=90.00 beta=90.00 gamma=90.00
Fractional positions:
1 Ba 0.000 0.000 0.000
2 La 0.500 0.500 0.500
3 As 0.000 0.500 0.000
4 As 0.500 0.000 0.000
5 Br 0.000 0.000 0.500



[11]
# BaLaAsBr2

A geometry-optimized BaLaAsBr2 structure (PBE-GGA, the Alexandria database).

Calculated total energy = -4.382 eV per atom
V = 39.388 A^3/atom
Density of states at the Fermi level = 0.76 states/eV/cell
Offset from the most stable computed form = 0 meV per atom
Uncorrected formation energy = -1.41 eV/atom

Unit cell a=5.768 b=5.768 c=5.919 alpha=90.00 beta=90.00 gamma=90.00
Fractional positions:
1 Ba 0.000 0.000 0.000
2 La 0.500 0.500 0.500
3 As 0.500 0.500 0.000
4 Br 0.000 0.500 0.500
5 Br 0.500 0.000 0.500



[12]
# BaLaAs2Br

A geometry-optimized BaLaAs2Br structure (PBE-GGA, the Alexandria database).

Calculated total energy = -4.504 eV per atom
V = 37.496 A^3/atom
Density of states at the Fermi level = 2.82 states/eV/cell
Offset from the most stable computed form = 0 meV per atom
Uncorrected formation energy = -0.94 eV/atom

Unit cell a=5.666 b=5.666 c=5.840 alpha=90.00 beta=90.00 gamma=90.00
Fractional positions:
1 Ba 0.000 0.000 0.000
2 La 0.500 0.500 0.500
3 As 0.000 0.500 0.500
4 As 0.500 0.000 0.500
5 Br 0.500 0.500 0.000



[13]
# BaLaAsBr2

A geometry-optimized BaLaAsBr2 structure (PBE-GGA, the Alexandria database).

Calculated total energy = -3.669 eV per atom
V = 43.328 A^3/atom
Density of states at the Fermi level = 4.23 states/eV/cell
Offset from the most stable computed form = 713 meV per atom
Uncorrected formation energy = -0.70 eV/atom

Unit cell a=5.850 b=5.850 c=6.329 alpha=90.00 beta=90.00 gamma=90.00
Fractional positions:
1 Ba 0.000 0.000 0.000
2 La 0.500 0.500 0.500
3 As 0.000 0.000 0.500
4 Br 0.000 0.500 0.000
5 Br 0.500 0.000 0.000



[14]
# BaLiAs2Br

A geometry-optimized BaLiAs2Br structure (PBE-GGA, the Alexandria database).

Calculated total energy = -2.819 eV per atom
V = 51.563 A^3/atom
Density of states at the Fermi level = 2.63 states/eV/cell
Offset from the most stable computed form = 758 meV per atom
Uncorrected formation energy = 0.14 eV/atom

Unit cell a=6.436 b=6.436 c=6.225 alpha=90.00 beta=90.00 gamma=90.00
Fractional positions:
1 Ba 0.000 0.000 0.000
2 Li 0.500 0.500 0.500
3 As 0.000 0.500 0.000
4 As 0.500 0.000 0.000
5 Br 0.000 0.000 0.500



[15]
# BaLiAs2Br

A geometry-optimized BaLiAs2Br structure (PBE-GGA, the Alexandria database).

Calculated total energy = -2.476 eV per atom
V = 99.355 A^3/atom
Density of states at the Fermi level = 4.38 states/eV/cell
Offset from the most stable computed form = 1102 meV per atom
Uncorrected formation energy = 0.49 eV/atom

Unit cell a=5.785 b=5.785 c=14.842 alpha=90.00 beta=90.00 gamma=90.00
Fractional positions:
1 Ba 0.000 0.000 0.000
2 Li 0.000 0.000 0.500
3 As 0.000 0.500 0.000
4 As 0.500 0.000 0.000
5 Br 0.500 0.500 0.500



[16]
# BaLiAsBr2

A geometry-optimized BaLiAsBr2 structure (PBE-GGA, the Alexandria database).

Calculated total energy = -3.395 eV per atom
V = 28.358 A^3/atom
Density of states at the Fermi level = 2.01 states/eV/cell
Offset from the most stable computed form = 0 meV per atom
Uncorrected formation energy = -1.03 eV/atom

Unit cell a=5.169 b=5.169 c=5.308 alpha=90.00 beta=90.00 gamma=90.00
Fractional positions:
1 Ba 0.000 0.000 0.000
2 Li 0.500 0.500 0.500
3 As 0.500 0.500 0.000
4 Br 0.000 0.500 0.500
5 Br 0.500 0.000 0.500



[17]
# BaLiAsBr2

A geometry-optimized BaLiAsBr2 structure (PBE-GGA, the Alexandria database).

Calculated total energy = -3.006 eV per atom
V = 51.791 A^3/atom
Density of states at the Fermi level = 3.76 states/eV/cell
Offset from the most stable computed form = 389 meV per atom
Uncorrected formation energy = -0.64 eV/atom

Unit cell a=6.286 b=6.286 c=6.554 alpha=90.00 beta=90.00 gamma=90.00
Fractional positions:
1 Ba 0.000 0.000 0.000
2 Li 0.500 0.500 0.500
3 As 0.000 0.000 0.500
4 Br 0.000 0.500 0.000
5 Br 0.500 0.000 0.000



[18]
# BaLi2AsBr8

A geometry-optimized BaLi2AsBr8 structure (PBE-GGA, the Alexandria database).

Calculated total energy = -3.069 eV per atom
V = 29.826 A^3/atom
Density of states at the Fermi level = 10.10 states/eV/cell
Uncorrected formation energy = -1.09 eV/atom

Unit cell a=6.799 b=6.799 c=8.939 alpha=90.00 beta=90.00 gamma=120.00
Fractional positions:
1 Ba 0.000 0.000 0.000
2 Li 0.333 0.667 0.719
3 Li 0.667 0.333 0.281
4 As 0.000 0.000 0.500
5 Br 0.033 0.713 0.321
6 Br 0.287 0.319 0.321
7 Br 0.319 0.033 0.679
8 Br 0.333 0.667 0.997
9 Br 0.667 0.333 0.003
10 Br 0.681 0.967 0.321
11 Br 0.713 0.681 0.679
12 Br 0.967 0.287 0.679



[19]
# BaLi2AsBr

A geometry-optimized BaLi2AsBr structure (PBE-GGA, the Alexandria database).

Calculated total energy = -3.504 eV per atom
V = 31.406 A^3/atom
Uncorrected formation energy = -1.09 eV/atom

Unit cell a=4.880 b=4.880 c=6.592 alpha=90.00 beta=90.00 gamma=90.00
Fractional positions:
1 Ba 0.000 0.000 0.000
2 Li 0.000 0.500 0.500
3 Li 0.500 0.000 0.500
4 As 0.000 0.000 0.500
5 Br 0.500 0.500 0.000



[20]
# BaLiAs2Br

A geometry-optimized BaLiAs2Br structure (PBE-GGA, the Alexandria database).

Calculated total energy = -3.578 eV per atom
V = 27.173 A^3/atom
Density of states at the Fermi level = 3.73 states/eV/cell
Offset from the most stable computed form = 0 meV per atom
Uncorrected formation energy = -0.62 eV/atom

Unit cell a=4.668 b=4.668 c=6.235 alpha=90.00 beta=90.00 gamma=90.00
Fractional positions:
1 Ba 0.000 0.000 0.000
2 Li 0.500 0.500 0.500
3 As 0.000 0.500 0.500
4 As 0.500 0.000 0.500
5 Br 0.500 0.500 0.000



[21]
# BaMgAsBr2

A geometry-optimized BaMgAsBr2 structure (PBE-GGA, the Alexandria database).

Calculated total energy = -3.410 eV per atom
V = 30.319 A^3/atom
Density of states at the Fermi level = 2.92 states/eV/cell
Offset from the most stable computed form = 0 meV per atom
Uncorrected formation energy = -1.11 eV/atom

Unit cell a=5.325 b=5.325 c=5.347 alpha=90.00 beta=90.00 gamma=90.00
Fractional positions:
1 Ba 0.000 0.000 0.000
2 Mg 0.500 0.500 0.500
3 As 0.500 0.500 0.000
4 Br 0.000 0.500 0.500
5 Br 0.500 0.000 0.500



[22]
# BaMgAsBr2

A geometry-optimized BaMgAsBr2 structure (PBE-GGA, the Alexandria database).

Calculated total energy = -2.700 eV per atom
V = 51.643 A^3/atom
Density of states at the Fermi level = 2.51 states/eV/cell
Offset from the most stable computed form = 710 meV per atom
Uncorrected formation energy = -0.40 eV/atom

Unit cell a=6.215 b=6.215 c=6.684 alpha=90.00 beta=90.00 gamma=90.00
Fractional positions:
1 Ba 0.000 0.000 0.000
2 Mg 0.500 0.500 0.500
3 As 0.000 0.000 0.500
4 Br 0.000 0.500 0.000
5 Br 0.500 0.000 0.000



[23]
# BaMnAsBr2

A geometry-optimized BaMnAsBr2 structure (PBE-GGA, the Alexandria database).

Calculated total energy = -4.677 eV per atom
V = 28.296 A^3/atom
Density of states at the Fermi level = 2.87 states/eV/cell
Offset from the most stable computed form = 0 meV per atom
Uncorrected formation energy = -0.86 eV/atom

Unit cell a=5.316 b=5.316 c=5.007 alpha=90.00 beta=90.00 gamma=90.00
Fractional positions:
1 Ba 0.000 0.000 0.000
2 Mn 0.500 0.500 0.500
3 As 0.500 0.500 0.000
4 Br 0.000 0.500 0.500
5 Br 0.500 0.000 0.500



[24]
# BaMnAsBr2

A geometry-optimized BaMnAsBr2 structure (PBE-GGA, the Alexandria database).

Calculated total energy = -3.779 eV per atom
V = 51.812 A^3/atom
Density of states at the Fermi level = 3.23 states/eV/cell
Offset from the most stable computed form = 898 meV per atom
Uncorrected formation energy = 0.04 eV/atom

Unit cell a=6.289 b=6.289 c=6.550 alpha=90.00 beta=90.00 gamma=90.00
Fractional positions:
1 Ba 0.000 0.000 0.000
2 Mn 0.500 0.500 0.500
3 As 0.000 0.000 0.500
4 Br 0.000 0.500 0.000
5 Br 0.500 0.000 0.000



[25]
# Ba6As2BrN

A geometry-optimized Ba6As2BrN structure (PBE-GGA, the Alexandria database).

Calculated total energy = -4.048 eV per atom
V = 37.090 A^3/atom
Density of states at the Fermi level = 7.83 states/eV/cell
Uncorrected formation energy = -0.96 eV/atom

Unit cell a=7.560 b=8.758 c=13.435 alpha=90.00 beta=123.50 gamma=90.00
Fractional positions:
1 Ba 0.084 0.041 0.227
2 Ba 0.084 0.459 0.727
3 Ba 0.214 0.713 0.067
4 Ba 0.214 0.787 0.567
5 Ba 0.372 0.159 0.070
6 Ba 0.372 0.341 0.570
7 Ba 0.628 0.659 0.430
8 Ba 0.628 0.841 0.930
9 Ba 0.786 0.213 0.433
10 Ba 0.786 0.287 0.933
11 Ba 0.916 0.541 0.273
12 Ba 0.916 0.959 0.773
13 As 0.305 0.114 0.747
14 As 0.305 0.386 0.247
15 As 0.695 0.614 0.753
16 As 0.695 0.886 0.253
17 Br 0.500 0.000 0.500
18 Br 0.500 0.500 0.000
19 N 0.000 0.000 0.000
20 N 0.000 0.500 0.500



[26]
# Ba5As2BrN

A geometry-optimized Ba5As2BrN structure (PBE-GGA, the Alexandria database).

Calculated total energy = -4.226 eV per atom
V = 38.445 A^3/atom
Density of states at the Fermi level = 1.19 states/eV/cell
Uncorrected formation energy = -1.01 eV/atom

Unit cell a=9.410 b=9.410 c=9.410 alpha=147.31 beta=129.07 gamma=61.85
Fractional positions:
1 Ba 0.000 0.000 0.000
2 Ba 0.089 0.360 0.729
3 Ba 0.369 0.640 0.729
4 Ba 0.631 0.360 0.271
5 Ba 0.911 0.640 0.271
6 As 0.204 0.204 0.000
7 As 0.796 0.796 0.000
8 Br 0.500 0.000 0.500
9 N 0.000 0.500 0.500



Number 1: mass density 4735 kg/m³. Number 2: mass density 5050 kg/m³. Number 3: mass density 6827 kg/m³. Number 4: mass density 3847 kg/m³. Number 5: mass density 2596 kg/m³. Number 6: mass density 3664 kg/m³. Number 7: mass density 3336 kg/m³. Number 8: mass density 2566 kg/m³. Number 9: mass density 4392 kg/m³. Number 10: mass density 4404 kg/m³. Number 11: mass density 4308 kg/m³. Number 12: mass density 4482 kg/m³. Number 13: mass density 3917 kg/m³. Number 14: mass density 2409 kg/m³. Number 15: mass density 1250 kg/m³. Number 16: mass density 4438 kg/m³. Number 17: mass density 2430 kg/m³. Number 18: mass density 4015 kg/m³. Number 19: mass density 3236 kg/m³. Number 20: mass density 4571 kg/m³. Number 21: mass density 4342 kg/m³. Number 22: mass density 2549 kg/m³. Number 23: mass density 5012 kg/m³. Number 24: mass density 2737 kg/m³. Number 25: mass density 4780 kg/m³. Number 26: mass density 4465 kg/m³.